1.
The following is a GGA-PBE calculation of a relaxed structure of Pr2HgPd3, from the Alexandria database.

Results
Symmetry   P6_3/mmc, No. 194
E above lowest polymorph   0.006 eV per atom
DFT formation energy   -0.6302 eV/atom
Electronic total energy   -0.358 Ry/atom

a = 4.6773 Å, b = 4.6773 Å, c = 14.7779 Å
α = 90.00°, β = 90.00°, γ = 120.00°
Last column: nearest neighbours and their distance in Å.
Atoms (fractional coordinates):
Pr1 0.0000 0.0000 0.6195  9 Pd 3.20-3.32, 3 Hg 3.32, 1 Pr 3.53
Pr2 0.0000 0.0000 0.3805  9 Pd 3.20-3.32, 3 Hg 3.32, 1 Pr 3.53
Pr3 0.0000 0.0000 0.1195  9 Pd 3.20-3.32, 3 Hg 3.32, 1 Pr 3.53
Pr4 0.0000 0.0000 0.8805  9 Pd 3.20-3.32, 3 Hg 3.32, 1 Pr 3.53
Hg1 0.6667 0.3333 0.7500  3 Pd 2.70
Hg2 0.3333 0.6667 0.2500  3 Pd 2.70
Pd1 0.6667 0.3333 0.2500  3 Hg 2.70
Pd2 0.3333 0.6667 0.7500  3 Hg 2.70
Pd3 0.6667 0.3333 0.5032  3 Pd 2.70
Pd4 0.3333 0.6667 0.4968  3 Pd 2.70
Pd5 0.3333 0.6667 0.0032  3 Pd 2.70
Pd6 0.6667 0.3333 0.9968  3 Pd 2.70

=====

2.
The following is a GGA-PBE calculation of a relaxed structure of FeH3Os, from the Alexandria database.

Results
Symmetry   Pm-3m, No. 221
E above lowest polymorph   0.074 eV per atom
Electronic total energy   -0.396 Ry/atom

a = 3.1932 Å, b = 3.1932 Å, c = 3.1932 Å
α = 90.00°, β = 90.00°, γ = 90.00°
Last column: nearest neighbours and their distance in Å.
Atoms (fractional coordinates):
H1 0.0000 0.5000 0.0000  2 Fe 1.60
H2 0.0000 0.0000 0.5000  2 Fe 1.60
H3 0.5000 0.0000 0.0000  2 Fe 1.60
Os1 0.5000 0.5000 0.5000  12 H 2.26
Fe1 0.0000 0.0000 0.0000  6 H 1.60

=====

3.
The following is a GGA-PBE calculation of a relaxed structure of ScCo, from the Alexandria database.

Results
Symmetry   I4/mmm, No. 139
DFT formation energy   -0.1207 eV/atom
Electronic total energy   -0.503 Ry/atom

a = 7.8471 Å, b = 7.8471 Å, c = 4.2967 Å
α = 90.00°, β = 90.00°, γ = 90.00°
Last column: nearest neighbours and their distance in Å.
Atoms (fractional coordinates):
Sc1 0.2193 0.5000 0.0000  6 Co 2.66-2.76
Sc2 0.7807 0.5000 0.0000  6 Co 2.66-2.76
Sc3 0.5000 0.7807 0.0000  6 Co 2.66-2.76
Sc4 0.5000 0.2193 0.0000  6 Co 2.66-2.76
Sc5 0.7193 0.0000 0.5000  6 Co 2.66-2.76
Sc6 0.2807 0.0000 0.5000  6 Co 2.66-2.76
Sc7 0.0000 0.2807 0.5000  6 Co 2.66-2.76
Sc8 0.0000 0.7193 0.5000  6 Co 2.66-2.76
Co1 0.8456 0.8456 0.0000  2 Co 2.42, 4 Sc 2.66
Co2 0.8456 0.1544 0.0000  2 Co 2.42, 4 Sc 2.66
Co3 0.1544 0.8456 0.0000  2 Co 2.42, 4 Sc 2.66
Co4 0.1544 0.1544 0.0000  2 Co 2.42, 4 Sc 2.66
Co5 0.3456 0.3456 0.5000  2 Co 2.42, 4 Sc 2.66
Co6 0.3456 0.6544 0.5000  2 Co 2.42, 4 Sc 2.66
Co7 0.6544 0.3456 0.5000  2 Co 2.42, 4 Sc 2.66
Co8 0.6544 0.6544 0.5000  2 Co 2.42, 4 Sc 2.66

=====

4.
The following is a GGA-PBE calculation of a relaxed structure of CsNb3Pb, from the Alexandria database.

Results
Symmetry   Pm-3m, No. 221
DFT formation energy   2.4857 eV/atom
Electronic total energy   -0.328 Ry/atom

a = 5.0820 Å, b = 5.0820 Å, c = 5.0820 Å
α = 90.00°, β = 90.00°, γ = 90.00°
Last column: nearest neighbours and their distance in Å.
Atoms (fractional coordinates):
Pb1 0.5000 0.5000 0.5000  12 Nb 3.59
Cs1 0.0000 0.0000 0.0000  6 Nb 2.54
Nb1 0.0000 0.5000 0.0000  2 Cs 2.54
Nb2 0.0000 0.0000 0.5000  2 Cs 2.54
Nb3 0.5000 0.0000 0.0000  2 Cs 2.54